This record from Alexandria describes Pr2DyMoO6 after structural relaxation. The functional is GGA+U.

POSCAR file:
```
Pr2DyMoO6
1.0
5.770 0.000 0.000
0.000 6.034 0.000
-5.682 0.000 8.355
Pr Dy Mo O
4 2 2 12
Direct
0.230 0.057 0.249
0.230 0.443 0.749
0.770 0.557 0.251
0.770 0.943 0.751
0.500 0.000 0.000
0.500 0.500 0.500
0.000 0.000 0.500
0.000 0.500 0.000
0.122 0.200 0.934
0.122 0.300 0.434
0.233 0.695 0.933
0.233 0.805 0.433
0.371 0.056 0.744
0.371 0.444 0.244
0.629 0.556 0.756
0.629 0.944 0.256
0.767 0.195 0.567
0.767 0.305 0.067
0.878 0.700 0.566
0.878 0.800 0.066
```

Properties
* DOS(E_F): 0.0 states/eV/cell
* energy: -161.33 eV for the cell shown
* calculated volume: 290.9 Å³/cell